[1]
DFT (PBE-GGA) results for an optimized crystal structure of Ac2DyPd9.

Structure (POSCAR):
```
Ac2DyPd9
1.0
4.269 0.000 0.000
0.000 4.269 0.000
0.000 0.000 12.673
Ac Dy Pd
2 1 9
direct
0.000 0.000 0.173 Ac
0.000 0.000 0.827 Ac
0.000 0.000 0.500 Dy
0.000 0.500 0.000 Pd
0.000 0.500 0.344 Pd
0.000 0.500 0.656 Pd
0.500 0.000 0.000 Pd
0.500 0.000 0.344 Pd
0.500 0.000 0.656 Pd
0.500 0.500 0.172 Pd
0.500 0.500 0.500 Pd
0.500 0.500 0.828 Pd
```

Results
* energy of formation: -889 kJ/mol of formula units
* polymorph energy (0 for the lowest one): 0.0 meV/atom
* final energy: -5.731 eV per atom
* N(E_F): 0.6031 states/eV per atom

***

[2]
DFT (PBE-GGA) results for an optimized crystal structure of LiTh2BPt6.

Structure (POSCAR):
```
LiTh2BPt6
1.0
2.855 1.649 12.842
-2.855 1.649 12.842
0.000 -3.297 12.842
Li Th B Pt
2 4 2 12
direct
0.080 0.080 0.080 Li
0.920 0.920 0.920 Li
0.224 0.224 0.224 Th
0.392 0.392 0.392 Th
0.608 0.608 0.608 Th
0.776 0.776 0.776 Th
0.000 0.000 0.000 B
0.500 0.500 0.500 B
0.143 0.143 0.616 Pt
0.143 0.616 0.143 Pt
0.192 0.705 0.705 Pt
0.295 0.295 0.808 Pt
0.295 0.808 0.295 Pt
0.384 0.857 0.857 Pt
0.616 0.143 0.143 Pt
0.705 0.192 0.705 Pt
0.705 0.705 0.192 Pt
0.808 0.295 0.295 Pt
0.857 0.384 0.857 Pt
0.857 0.857 0.384 Pt
```

Results
* energy of formation: -896 kJ/mol of formula units
* final energy: -6.896 eV per atom
* N(E_F): 0.2347 states/eV per atom

***

[3]
DFT (PBE-GGA) results for an optimized crystal structure of LiSb2Se4.

Structure (POSCAR):
```
LiSb2Se4
1.0
2.017 -6.573 0.000
2.017 6.573 0.000
0.000 0.000 13.813
Li Sb Se
2 4 8
direct
0.072 0.928 0.750 Li
0.928 0.072 0.250 Li
0.362 0.638 0.572 Sb
0.362 0.638 0.928 Sb
0.638 0.362 0.072 Sb
0.638 0.362 0.428 Sb
0.000 0.000 0.000 Se
0.000 0.000 0.500 Se
0.275 0.725 0.123 Se
0.275 0.725 0.377 Se
0.454 0.546 0.750 Se
0.546 0.454 0.250 Se
0.725 0.275 0.623 Se
0.725 0.275 0.877 Se
```

Results
* E_form (uncorrected): -377 meV per atom
* polymorph energy (0 for the lowest one): 45.6 meV/atom
* final energy: -3.820 eV per atom
* N(E_F): 0.6252 states/eV per atom

***

[4]
DFT (PBE-GGA) results for an optimized crystal structure of Al7Ga2Ag2.

Structure (POSCAR):
```
Al7Ga2Ag2
1.0
4.995 -4.150 0.000
4.995 4.150 0.000
-0.893 0.000 4.864
Al Ga Ag
7 2 2
direct
0.000 0.000 0.000 Al
0.045 0.399 0.239 Al
0.399 0.045 0.239 Al
0.453 0.453 0.226 Al
0.547 0.547 0.774 Al
0.601 0.955 0.761 Al
0.955 0.601 0.761 Al
0.237 0.237 0.750 Ga
0.763 0.763 0.250 Ga
0.207 0.793 0.500 Ag
0.793 0.207 0.500 Ag
```

Results
* energy of formation: 111 kJ/mol of formula units
* final energy: -3.346 eV per atom
* N(E_F): 0.3178 states/eV per atom

***

Which of these has the highest N(E_F)?
LiSb2Se4

***

Among the records above, which one has the lowest N(E_F)?
LiTh2BPt6

***

The lowest N(E_F) belongs to which entry?
LiTh2BPt6